Material: YBe2SiNi2
Method: DFT, GGA-PBE
State: optimized geometry

The space group is P4/mmm (No. 123) and the conventional cell measures 4.030, 4.030 and 5.376 Å, with angles of 90.00, 90.00 and 90.00 degrees. The inequivalent atoms are Y at (0.000, 0.000, 0.000), Be at (0.000, 0.500, 0.500), Si at (0.000, 0.000, 0.500) and Ni at (0.500, 0.500, 0.258).

The value obtained for the energy relative to the elements, uncorrected is 0.09 eV/atom.


Material: MgRh2Pb2
Method: DFT, GGA-PBE
State: optimized geometry

The space group is P-3m1 (No. 164) and the conventional cell measures 4.6101, 4.6101 and 5.6495 Å, with angles of 90.00, 90.00 and 120.00 degrees. The inequivalent atoms are Mg at (0.0000, 0.0000, 0.0000), Rh at (0.3333, 0.6667, 0.8474) and Pb at (0.3333, 0.6667, 0.3368).

The energy of formation comes out at -0.213 eV per atom. For the distance to the lowest polymorph of the same formula, the calculation gives 0.0000 eV/atom.


| no. | density of states at the Fermi level (states/eV/atom) | raw total energy (eV for the cell shown) |
| --- | --- | --- |
| 1 | 0.395 | -30.4 |
| 2 | 0.588 | -24.8 |